1.
A plane-wave DFT calculation with PBE was carried out for a relaxed structure of Ba5Bi2H2.

Geometry as CIF:
```
data_Ba5Bi2H2
_chemical_formula_sum 'Ba10 Bi4 H4'
_cell_length_a 13.150
_cell_length_b 13.150
_cell_length_c 13.150
_cell_angle_alpha 47.84
_cell_angle_beta 146.48
_cell_angle_gamma 146.88
_space_group_name_H-M_alt 'P 1'
_space_group_IT_number 1
_space_group_name_Hall 'P 1'
loop_
_atom_site_label
_atom_site_type_symbol
_atom_site_fract_x
_atom_site_fract_y
_atom_site_fract_z
Ba1 Ba 0.228 0.402 0.128
Ba2 Ba 0.228 0.600 0.326
Ba3 Ba 0.249 0.003 0.252
Ba4 Ba 0.249 0.497 0.746
Ba5 Ba 0.274 0.100 0.872
Ba6 Ba 0.274 0.902 0.674
Ba7 Ba 0.734 0.527 0.706
Ba8 Ba 0.751 0.503 0.254
Ba9 Ba 0.751 0.997 0.748
Ba10 Ba 0.821 0.027 0.294
Bi1 Bi 0.745 0.143 0.393
Bi2 Bi 0.745 0.853 0.102
Bi3 Bi 0.751 0.353 0.607
Bi4 Bi 0.751 0.643 0.898
H1 H 0.015 0.889 0.627
H2 H 0.251 0.251 0.000
H3 H 0.251 0.751 0.500
H4 H 0.262 0.389 0.373
```

The density of states at the Fermi level comes out at 0.38 states/eV/atom. As for the total magnetization: 0.5 μB per formula unit. The symmetry is Ima2, No. 46. The energy is -3.334 eV per atom.

2.
A plane-wave DFT calculation with PBE was carried out for a relaxed structure of Ba5Bi2H.

Geometry as CIF:
```
data_Ba5Bi2H
_chemical_formula_sum 'Ba10 Bi4 H2'
_cell_length_a 8.162
_cell_length_b 8.162
_cell_length_c 16.381
_cell_angle_alpha 90.00
_cell_angle_beta 90.00
_cell_angle_gamma 129.60
_space_group_name_H-M_alt 'P 1'
_space_group_IT_number 1
_space_group_name_Hall 'P 1'
loop_
_atom_site_label
_atom_site_type_symbol
_atom_site_fract_x
_atom_site_fract_y
_atom_site_fract_z
Ba1 Ba 0.061 0.939 0.620
Ba2 Ba 0.061 0.939 0.880
Ba3 Ba 0.295 0.705 0.250
Ba4 Ba 0.355 0.645 0.566
Ba5 Ba 0.355 0.645 0.934
Ba6 Ba 0.645 0.355 0.066
Ba7 Ba 0.645 0.355 0.434
Ba8 Ba 0.705 0.295 0.750
Ba9 Ba 0.939 0.061 0.120
Ba10 Ba 0.939 0.061 0.380
Bi1 Bi 0.171 0.829 0.075
Bi2 Bi 0.171 0.829 0.425
Bi3 Bi 0.829 0.171 0.575
Bi4 Bi 0.829 0.171 0.925
H1 H 0.173 0.827 0.750
H2 H 0.827 0.173 0.250
```

The density of states at the Fermi level comes out at 0.63 states/eV/atom. As for the total magnetization: 1.1 μB per formula unit. The symmetry is Cmcm, No. 63. The energy is -3.077 eV per atom.

Number 2 is which compound? Ba5Bi2H